6
Lattice="-1.7544 3.0194 9.9392 1.7544 -3.0194 9.9392 1.7544 3.0194 -9.9392" Properties=species:S:1:pos:R:3 comment="La3Tb2Pm PBE optimized geometry" e_above_lowest_polymorph_ev_per_fu=1.59 ef_ev_per_atom=0.29 crystal_system=orthorhombic vol_a3_per_cell=211 pbc="T T T"
La 0.0000 0.0000 0.0000
La 1.7544 0.0000 6.1772
La 0.0000 3.0194 3.7619
Tb 1.7544 0.0000 2.7187
Tb 0.0000 3.0194 7.2205
Pm 0.0000 3.0194 0.0000